<i>
Entry from the Alexandria database: crystalline RbMg2Cr at its relaxed geometry (GGA-PBE).

## Properties
The density of states at the Fermi level is 0.538 states/eV per atom. The spin magnetization is 10.1 μB/cell. As for the space group: I4_1/amd. As for the crystal system: tetragonal.

Cell: 5.8507 5.8507 10.7354 Å, 74.19 74.19 90.00°
Last column: magnetic moment on the atom in μB.
Sites, in units of the cell vectors:
Cr 0.5000 0.5000 0.0000  4.09
Cr 0.2500 0.7500 0.5000  4.09
Mg 0.3750 0.6250 0.2500  -0.01
Mg 0.3750 0.1250 0.2500  -0.01
Mg 0.8750 0.6250 0.7500  0.01
Mg 0.3750 0.6250 0.7500  0.01
Rb 0.7500 0.2500 0.5000  0.01
Rb 0.0000 0.0000 0.0000  0.01

=====

<ii>
Entry from the Alexandria database: crystalline RbMg2Cr at its relaxed geometry (GGA-PBE).

## Properties
The density of states at the Fermi level is 0.801 states/eV per atom. The spin magnetization is 4.5 μB/cell. As for the space group: Fm-3m. As for the crystal system: cubic.

Cell: 5.1378 5.1378 5.1378 Å, 60.00 60.00 60.00°
Last column: magnetic moment on the atom in μB.
Sites, in units of the cell vectors:
Rb 0.5000 0.5000 0.5000  0.01
Mg 0.2500 0.2500 0.2500  -0.02
Mg 0.7500 0.7500 0.7500  -0.02
Cr 0.0000 0.0000 0.0000  3.87

=====

Which structure wins on stability? <i> wins.

=====

<i>
Entry from the Alexandria database: crystalline RbMg6Cr at its relaxed geometry (GGA-PBE).

## Properties
The density of states at the Fermi level is 0.548 states/eV per atom. The spin magnetization is 4.2 μB/cell. As for the space group: Amm2. As for the crystal system: orthorhombic.

Cell: 7.4968 7.4968 3.6237 Å, 90.00 90.00 91.15°
Last column: magnetic moment on the atom in μB.
Sites, in units of the cell vectors:
Mg 0.8340 0.1660 0.0000  -0.01
Mg 0.4158 0.1663 0.0000  -0.01
Mg 0.4177 0.5823 0.0000  -0.01
Mg 0.6239 0.8765 0.5000  -0.01
Mg 0.1235 0.3761 0.5000  -0.01
Mg 0.8337 0.5842 0.0000  -0.01
Cr 0.6264 0.3736 0.5000  3.60
Rb 0.1251 0.8749 0.5000  0.02

=====

<ii>
Entry from the Alexandria database: crystalline RbMg6Cr at its relaxed geometry (GGA-PBE).

## Properties
The density of states at the Fermi level is 0.633 states/eV per atom. The spin magnetization is 4.4 μB/cell. As for the space group: Amm2. As for the crystal system: orthorhombic.

Cell: 8.9253 8.9253 5.0286 Å, 90.00 90.00 139.90°
Last column: magnetic moment on the atom in μB.
Sites, in units of the cell vectors:
Mg 0.1751 0.3265 0.0000  -0.01
Mg 0.8669 0.1331 0.5000  -0.02
Mg 0.6735 0.8249 0.0000  -0.01
Mg 0.2844 0.2012 0.5000  -0.01
Mg 0.7988 0.7156 0.5000  -0.01
Mg 0.5854 0.4146 0.0000  0.00
Cr 0.3978 0.6022 0.5000  3.83
Rb 0.2181 0.7819 0.0000  0.01

=====

Which structure wins on stability? <i> wins.

=====

<i>
Entry from the Alexandria database: crystalline MgCr2Rh2 at its relaxed geometry (GGA-PBE).

## Properties
The density of states at the Fermi level is 0.832 states/eV per atom. The spin magnetization is 0.0 μB/cell. As for the space group: P4/mbm. As for the crystal system: tetragonal.

Cell: 7.2799 7.2799 2.7237 Å, 90.00 90.00 90.00°
Sites, in units of the cell vectors:
Cr 0.1073 0.3927 0.0000
Cr 0.6073 0.1073 0.0000
Cr 0.3927 0.8927 0.0000
Cr 0.8927 0.6073 0.0000
Rh 0.8208 0.3208 0.5000
Rh 0.1792 0.6792 0.5000
Rh 0.3208 0.1792 0.5000
Rh 0.6792 0.8208 0.5000
Mg 0.5000 0.5000 0.0000
Mg 0.0000 0.0000 0.0000

=====

<ii>
Entry from the Alexandria database: crystalline MgCr2Rh2 at its relaxed geometry (GGA-PBE).

## Properties
The density of states at the Fermi level is 0.973 states/eV per atom. The spin magnetization is 4.1 μB/cell. As for the space group: P4/mbm. As for the crystal system: tetragonal.

Cell: 7.3346 7.3346 2.7159 Å, 90.00 90.00 90.00°
Last column: magnetic moment on the atom in μB.
Sites, in units of the cell vectors:
Rh 0.8697 0.6303 0.0000  -0.08
Rh 0.6303 0.1303 0.0000  -0.08
Rh 0.3697 0.8697 0.0000  -0.08
Rh 0.1303 0.3697 0.0000  -0.08
Cr 0.1648 0.6648 0.5000  1.05
Cr 0.3352 0.1648 0.5000  1.07
Cr 0.6648 0.8352 0.5000  1.07
Cr 0.8352 0.3352 0.5000  1.05
Mg 0.5000 0.5000 0.0000  -0.01
Mg 0.0000 0.0000 0.0000  -0.01

=====

Which structure wins on stability? <i> wins.

=====

<i>
Entry from the Alexandria database: crystalline MgCrRu at its relaxed geometry (GGA-PBE).

## Properties
The density of states at the Fermi level is 0.499 states/eV per atom. The spin magnetization is 2.0 μB/cell. As for the space group: F-43m. As for the crystal system: cubic.

Cell: 4.1885 4.1885 4.1885 Å, 60.00 60.00 60.00°
Last column: magnetic moment on the atom in μB.
Sites, in units of the cell vectors:
Cr 0.0000 0.0000 0.0000  2.29
Mg 0.5000 0.5000 0.5000  -0.01
Ru 0.7500 0.7500 0.7500  -0.53

=====

<ii>
Entry from the Alexandria database: crystalline MgCrRu at its relaxed geometry (GGA-PBE).

## Properties
The density of states at the Fermi level is 0.511 states/eV per atom. The spin magnetization is 0.0 μB/cell. As for the space group: I4mm. As for the crystal system: tetragonal.

Cell: 5.3408 5.3408 5.3408 Å, 147.65 147.65 46.40°
Sites, in units of the cell vectors:
Cr 0.0184 0.0184 0.0000
Mg 0.3333 0.3333 0.0000
Ru 0.6483 0.6483 0.0000

=====

Which structure wins on stability? <ii> wins.